Rb2ScIr3O12: optimized geometry, GGA-PBE.

Summary:
energy relative to the elements, uncorrected: -21.481 eV per formula unit
symmetry: No. 166
DOS at the Fermi energy: 10.30 states/eV/cell
final energy: -6.435 eV per atom

Lattice parameters (Å, degrees): 7.4316 7.4316 7.4316 58.54 58.54 58.54
Fractional positions:
Ir1 0.0000 0.0000 0.5000
Rb1 0.3814 0.3814 0.3814
O1 0.0669 0.6658 0.0669
O2 0.6830 0.0793 0.6830
O3 0.9207 0.3170 0.3170
Ir2 0.0000 0.5000 0.0000
O4 0.0669 0.0669 0.6658
O5 0.3170 0.3170 0.9207
O6 0.6830 0.6830 0.0793
O7 0.3342 0.9331 0.9331
Sc1 0.0000 0.0000 0.0000
Ir3 0.5000 0.0000 0.0000
O8 0.9331 0.3342 0.9331
O9 0.0793 0.6830 0.6830
Rb2 0.6186 0.6186 0.6186
O10 0.3170 0.9207 0.3170
O11 0.9331 0.9331 0.3342
O12 0.6658 0.0669 0.0669